# Ac2HoTl4

A relaxed Ac2HoTl4 crystal (PBE, the Alexandria database).

The calculated total energy is -3.453 eV per atom. For the energy relative to the lowest polymorph listed for this composition, the calculation gives 0.000 eV/atom. The calculated formation energy comes out at -0.27 eV per atom.

abc: 6.5336 6.6388 10.6922
angles: 90.00 103.19 90.00
Space group P2_1/m (No. 11)
Asymmetric unit:
Ac 0.1332 0.2500 0.4189 x2
Ac 0.3321 0.7500 0.0017 x2
Ho 0.0656 0.2500 0.8021 x2
Tl 0.1924 0.2500 0.1078 x2
Tl 0.3025 0.7500 0.4375 x2
Tl 0.4010 0.5089 0.7117 x4